An optimized crystal structure of Sr3Pm2NdSe6, computed with PBE-GGA.

Computed properties:
symmetry: No. 12
final energy: -5.272 eV per atom
formation energy from raw total energies: -1919.8 meV per atom

Cell lengths 7.4055, 7.4055, 7.5747 Å; angles 99.40, 99.40, 119.95 degrees
Closest atoms and distances in Å follow each position.
Positions (direct):
1 Sr 0.0000 0.0000 0.0000  6 Se 3.08-3.10
2 Sr 0.3338 0.6662 0.0000  6 Se 3.09-3.10
3 Sr 0.6662 0.3338 0.0000  6 Se 3.09-3.10
4 Pm 0.1668 0.8332 0.5000  6 Se 3.00
5 Pm 0.8332 0.1668 0.5000  6 Se 3.00
6 Nd 0.5000 0.5000 0.5000  6 Se 3.02
7 Se 0.0850 0.4200 0.2600  2 Pm 3.00, 1 Nd 3.02, 3 Sr 3.09-3.10
8 Se 0.2448 0.2448 0.7397  2 Pm 3.00, 1 Nd 3.02, 3 Sr 3.08-3.09
9 Se 0.4200 0.0850 0.2600  2 Pm 3.00, 1 Nd 3.02, 3 Sr 3.09-3.10
10 Se 0.5800 0.9150 0.7400  2 Pm 3.00, 1 Nd 3.02, 3 Sr 3.09-3.10
11 Se 0.7552 0.7552 0.2603  2 Pm 3.00, 1 Nd 3.02, 3 Sr 3.08-3.09
12 Se 0.9150 0.5800 0.7400  2 Pm 3.00, 1 Nd 3.02, 3 Sr 3.09-3.10